The following is a meta-GGA SCAN calculation of a PBEsol-optimized structure of KInFe2, from Alexandria via LeMat-Bulk.

```
4
Lattice="4.5618 0.0000 0.0000 -2.2809 4.3009 -0.1178 0.0000 -2.3115 3.9328" Properties=species:S:1:pos:R:3 pbc="T T T"
Fe 2.2809 1.5726 0.9243
K 0.0000 0.4168 2.8907
In 2.2809 -1.1558 1.9664
Fe 0.0000 0.0000 0.0000
```

Results
total moment	5.9	Bohr magnetons per cell
total DFT energy (no corrections)	-74.30	eV/cell
Fermi-level density of states	1.5	states/eV per cell
formation energy from the elements	0.92	eV/atom


The following is a meta-GGA SCAN calculation of a PBEsol-optimized structure of CsTaRe2H, from Alexandria via LeMat-Bulk.

```
5
Lattice="3.9204 0.0000 0.0000 0.0000 3.9204 0.0000 0.0000 0.0000 5.1449" Properties=species:S:1:pos:R:3 pbc="T T T"
Re 0.0000 1.9602 0.0000
Re 1.9602 0.0000 0.0000
H 0.0000 0.0000 0.0000
Cs 0.0000 0.0000 2.5724
Ta 1.9602 1.9602 2.5724
```

Results
total moment	0.7	Bohr magnetons per cell
total DFT energy (no corrections)	-239.67	eV/cell
Fermi-level density of states	5.0	states/eV per cell


The following is a meta-GGA SCAN calculation of a PBEsol-optimized structure of TaTe3S, from Alexandria via LeMat-Bulk.

```
5
Lattice="5.0380 0.0000 0.0000 0.0000 5.0380 0.0000 0.0000 0.0000 5.0380" Properties=species:S:1:pos:R:3 pbc="T T T"
Te 0.0000 0.0000 2.5190
Ta 2.5190 2.5190 2.5190
S 0.0000 0.0000 0.0000
Te 2.5190 0.0000 0.0000
Te 0.0000 2.5190 0.0000
```

Results
total moment	1.8	Bohr magnetons per cell
total DFT energy (no corrections)	-182.53	eV/cell
Fermi-level density of states	3.1	states/eV per cell
ΔE_f (raw)	1.09	eV per atom


The following is a meta-GGA SCAN calculation of a PBEsol-optimized structure of BaBrO2, from Alexandria via LeMat-Bulk.

```
4
Lattice="-1.0585 2.3638 3.3437 -3.9846 -0.0066 1.4183 -0.3480 -3.8839 5.3104" Properties=species:S:1:pos:R:3 pbc="T T T"
O -0.7751 -2.3879 4.1177
O -4.6160 0.8612 5.9547
Ba -2.6955 -0.7634 5.0362
Br 0.0000 0.0000 0.0000
```

Results
total moment	1.0	Bohr magnetons per cell
total DFT energy (no corrections)	-77.19	eV/cell
Fermi-level density of states	3.4	states/eV per cell
ΔE_f (raw)	-1.43	eV per atom